No. 1
Compound: LaCo2Sb
Source: Alexandria via LeMat-Bulk
Functional: PBE-GGA
Structure: relaxed

Values from the calculation:
E_form (uncorrected), kJ/mol of formula units: -125

Cell: 4.3508 4.3508 5.4818 Å, 66.54 66.54 59.98°
With the nearest neighbours (Å) after each atom.
Fractional positions:
Co 0.0567 0.0567 0.8296  3 Sb 2.54, 3 Co 2.63, 1 La 2.82
Co 0.4433 0.4433 0.6704  3 Sb 2.54, 3 Co 2.63, 1 La 2.82
La 0.2500 0.2500 0.2500  2 Co 2.82
Sb 0.7500 0.7500 0.7500  6 Co 2.54

No. 2
Compound: LaCoSb2
Source: Alexandria via LeMat-Bulk
Functional: PBE-GGA
Structure: relaxed

Values from the calculation:
E_form (uncorrected), kJ/mol of formula units: -58
ΔE to the lowest computed polymorph, eV per formula unit: 2.11

Cell: 5.8697 5.8697 5.8697 Å, 135.43 135.43 64.86°
With the nearest neighbours (Å) after each atom.
Fractional positions:
Co 0.5000 0.5000 0.0000  8 Sb 3.15-3.33, 4 La 3.33
La 0.2500 0.7500 0.5000  8 Sb 3.15-3.33, 4 Co 3.33
Sb 0.0000 0.0000 0.0000  4 Co 3.15, 4 Sb 3.33, 4 La 3.33
Sb 0.7500 0.2500 0.5000  4 La 3.15, 4 Sb 3.33, 4 Co 3.33

No. 3
Compound: La4CoSb
Source: Alexandria via LeMat-Bulk
Functional: PBE-GGA
Structure: relaxed

Values from the calculation:
E_form (uncorrected), kJ/mol of formula units: 237
ΔE to the lowest computed polymorph, eV per formula unit: 5.24

Cell: 6.3577 6.3577 6.3577 Å, 60.00 60.00 60.00°
With the nearest neighbours (Å) after each atom.
Fractional positions:
La 0.8735 0.3755 0.3755  6 La 3.17-3.19
La 0.3755 0.3755 0.8735  6 La 3.17-3.19
La 0.3755 0.8735 0.3755  6 La 3.17-3.19
La 0.3755 0.3755 0.3755  6 La 3.17-3.19
Co 0.0000 0.0000 0.0000  12 La 3.73, 4 Sb 3.89
Sb 0.7500 0.7500 0.7500  12 La 3.73, 4 Co 3.89

No. 4
Compound: LaCoSb3
Source: Alexandria via LeMat-Bulk
Functional: PBE-GGA
Structure: relaxed

Values from the calculation:
E_form (uncorrected), kJ/mol of formula units: -278

Cell: 6.0345 6.1592 13.1732 Å, 90.00 90.00 90.00°
With the nearest neighbours (Å) after each atom.
Fractional positions:
Sb 0.0000 0.7500 0.4987  4 Sb 3.02-3.08
Sb 0.5000 0.2500 0.5013  4 Sb 3.02-3.08
Sb 0.0000 0.2500 0.5013  4 Sb 3.02-3.08
Sb 0.5000 0.7500 0.4987  4 Sb 3.02-3.08
Sb 0.7500 0.9078 0.9466  4 Co 2.60-2.64
Sb 0.2500 0.0922 0.0534  4 Co 2.60-2.64
Sb 0.7500 0.4078 0.0534  4 Co 2.60-2.64
Sb 0.2500 0.5922 0.9466  4 Co 2.60-2.64
Sb 0.7500 0.4992 0.7934  2 Co 2.65
Sb 0.2500 0.5008 0.2066  2 Co 2.65
Sb 0.7500 0.9992 0.2066  2 Co 2.65
Sb 0.2500 0.0008 0.7934  2 Co 2.65
Co 0.5000 0.7500 0.0899  6 Sb 2.60-2.65
Co 0.0000 0.2500 0.9101  6 Sb 2.60-2.65
Co 0.5000 0.2500 0.9101  6 Sb 2.60-2.65
Co 0.0000 0.7500 0.0899  6 Sb 2.60-2.65
La 0.2500 0.5002 0.6988  9 Sb 3.26-3.40, 2 Co 3.52
La 0.7500 0.4998 0.3012  9 Sb 3.26-3.40, 2 Co 3.52
La 0.2500 0.0002 0.3012  9 Sb 3.26-3.40, 2 Co 3.52
La 0.7500 0.9998 0.6988  9 Sb 3.26-3.40, 2 Co 3.52

no.,DOS at the Fermi energy (states/eV/cell)
1,3.161
2,3.991
3,10.836
4,10.628